1.
DFT (PBE-GGA) results for crystalline Y12Ho6Zr at its relaxed geometry.

Cell lengths 9.3524, 9.3524, 9.3524 Å; angles 110.93, 110.93, 110.93 degrees
Atoms (fractional coordinates):
Y 0.0570 0.3734 0.5831
Y 0.1020 0.7411 0.1545
Y 0.1545 0.1020 0.7411
Y 0.2589 0.8455 0.8980
Y 0.3734 0.5831 0.0570
Y 0.4169 0.9430 0.6266
Y 0.5831 0.0570 0.3734
Y 0.6266 0.4169 0.9430
Y 0.7411 0.1545 0.1020
Y 0.8455 0.8980 0.2589
Y 0.8980 0.2589 0.8455
Y 0.9430 0.6266 0.4169
Ho 0.2084 0.4646 0.3109
Ho 0.3109 0.2084 0.4646
Ho 0.4646 0.3109 0.2084
Ho 0.5354 0.6891 0.7916
Ho 0.6891 0.7916 0.5354
Ho 0.7916 0.5354 0.6891
Zr 0.0000 0.0000 0.0000

Output
Symmetry: No. 148
Energy of formation from the pure elements: 39 meV/atom

***

2.
DFT (PBE-GGA) results for crystalline K2Cd6Sn3 at its relaxed geometry.

Cell lengths 8.8193, 8.8193, 4.8431 Å; angles 90.00, 90.00, 120.00 degrees
Atoms (fractional coordinates):
K 0.3333 0.6667 0.0000
K 0.6667 0.3333 0.0000
Cd 0.0000 0.2938 0.5000
Cd 0.0000 0.8086 0.0000
Cd 0.1914 0.1914 0.0000
Cd 0.2938 0.0000 0.5000
Cd 0.7062 0.7062 0.5000
Cd 0.8086 0.0000 0.0000
Sn 0.0000 0.6308 0.5000
Sn 0.3692 0.3692 0.5000
Sn 0.6308 0.0000 0.5000

Output
Symmetry: No. 189
Energy of formation from the pure elements: -122 meV/atom

***

3.
DFT (PBE-GGA) results for crystalline AcErZr2 at its relaxed geometry.

Cell lengths 12.0430, 12.0430, 12.0430 Å; angles 16.12, 16.12, 16.12 degrees
Atoms (fractional coordinates):
Ac 0.0000 0.0000 0.0000
Er 0.5000 0.5000 0.5000
Zr 0.0922 0.0922 0.0922
Zr 0.9078 0.9078 0.9078

Output
Symmetry: No. 166
Energy of formation from the pure elements: 393 meV/atom

***

4.
DFT (PBE-GGA) results for crystalline CrRhBr4 at its relaxed geometry.

Cell lengths 6.1552, 6.1552, 6.1552 Å; angles 60.00, 60.00, 60.00 degrees
Atoms (fractional coordinates):
Cr 0.0000 0.0000 0.0000
Rh 0.7500 0.7500 0.7500
Br 0.3753 0.3753 0.3753
Br 0.3753 0.3753 0.8740
Br 0.3753 0.8740 0.3753
Br 0.8740 0.3753 0.3753

Output
Symmetry: No. 216
Energy relative to the elements, uncorrected: 115.4 kJ per mole of atoms